# RbCdGa2Te4

A geometry-optimized RbCdGa2Te4 structure (GGA-PBE, Alexandria via LeMat-Bulk).

Cell lengths 7.4515, 7.4515, 7.4515 Å; angles 122.92, 108.30, 98.19 degrees
Closest atoms and distances in Å follow each position.
Element x y z (fractional)
Rb 0.0000 0.0000 0.0000  8 Te 3.78-3.87
Cd 0.5000 0.5000 0.0000  4 Te 2.92
Ga 0.3680 0.8680 0.5000  2 Te 2.56, 1 Ga 2.58
Ga 0.6320 0.1320 0.5000  2 Te 2.56, 1 Ga 2.58
Te 0.1304 0.0832 0.5919  1 Ga 2.56
Te 0.4913 0.5385 0.4081  1 Ga 2.56
Te 0.5087 0.9168 0.0472  1 Ga 2.56
Te 0.8696 0.4615 0.9528  1 Ga 2.56

Calculated values
SG: I222, No. 23
Raw formation energy, meV per atom: -327